Record 1
The following is a DFT calculation (PBE) of TmSeN after structural relaxation.

Calculated density, g/cm³: 7.63
Relative energy among the computed polymorphs, kJ per mole of atoms: 32.58
Crystal system: trigonal
ΔE_f (raw), meV per atom: -810
M_tot, μB per cell: 0.0

Lattice parameters (Å, degrees): 3.827 3.827 9.260 78.07 78.07 60.00
Fractional positions:
Tm: 0.619 0.619 0.142
N: 0.296 0.296 0.112
Se: 0.135 0.135 0.596
Se: 0.865 0.865 0.404
Tm: 0.381 0.381 0.858
N: 0.704 0.704 0.888

---

Record 2
The following is a DFT calculation (PBE) of TlTc3O9 after structural relaxation.

Calculated density, g/cm³: 3.61
Crystal system: orthorhombic
ΔE_f (raw), meV per atom: -1192
M_tot, μB per cell: 0.0

Lattice parameters (Å, degrees): 8.343 8.343 8.736 90.00 90.00 103.72
Fractional positions:
Tl: 0.394 0.394 0.500
Tc: 0.846 0.221 0.544
Tc: 0.769 0.769 0.500
O: 0.214 0.001 0.990
O: 0.663 0.267 0.053
O: 0.786 0.999 0.490
O: 0.311 0.325 0.169
O: 0.292 0.057 0.480
Tc: 0.154 0.779 0.044
O: 0.325 0.311 0.831
O: 0.708 0.943 0.980
O: 0.267 0.663 0.947
O: 0.787 0.213 0.750
O: 0.999 0.786 0.510
Tc: 0.779 0.154 0.956
Tc: 0.231 0.231 0.000
O: 0.689 0.675 0.669
O: 0.675 0.689 0.331
Tc: 0.221 0.846 0.456
O: 0.057 0.292 0.520
O: 0.733 0.337 0.447
O: 0.943 0.708 0.020
O: 0.337 0.733 0.553
O: 0.001 0.214 0.010
Tl: 0.606 0.606 0.000
O: 0.213 0.787 0.250

---

Record 3
The following is a DFT calculation (PBE) of Ta2SbCl after structural relaxation.

Calculated density, g/cm³: 10.31
Relative energy among the computed polymorphs, kJ per mole of atoms: 61.61
Crystal system: tetragonal
ΔE_f (raw), meV per atom: 424
M_tot, μB per cell: 0.0

Lattice parameters (Å, degrees): 3.467 3.467 6.956 90.00 90.00 90.00
Fractional positions:
Cl: 0.500 0.500 0.250
Ta: 0.000 0.000 0.949
Sb: 0.500 0.500 0.750
Ta: 0.000 0.000 0.551

---

Record 4
The following is a DFT calculation (PBE) of LiAlPt after structural relaxation.

Calculated density, g/cm³: 6.76
DFT formation energy, eV/atom: -0.4327
Relative energy among the computed polymorphs, kJ per mole of atoms: 36.21
Crystal system: orthorhombic
M_tot, μB per cell: 0.0

Lattice parameters (Å, degrees): 4.343 4.343 11.931 90.00 90.00 90.00
Fractional positions:
Li: 0.749 0.000 0.250
Pt: 0.752 0.000 0.500
Al: 0.752 0.500 0.400
Al: 0.252 0.000 0.600
Li: 0.249 0.500 0.750
Al: 0.748 0.500 0.900
Pt: 0.252 0.500 0.500
Li: 0.251 0.500 0.250
Pt: 0.248 0.500 0.000
Al: 0.248 0.000 0.100
Li: 0.751 0.000 0.750
Pt: 0.748 0.000 0.000

---

Record 5
The following is a DFT calculation (PBE) of PmPrNdTm after structural relaxation.

Calculated density, g/cm³: 7.30
DFT formation energy, eV/atom: 0.1223
Relative energy among the computed polymorphs, kJ per mole of atoms: 9.99
Crystal system: cubic
M_tot, μB per cell: 0.0

Lattice parameters (Å, degrees): 5.777 5.777 5.777 60.00 60.00 60.00
Fractional positions:
Pm: 0.000 0.000 0.000
Tm: 0.500 0.500 0.500
Pr: 0.750 0.750 0.750
Nd: 0.250 0.250 0.250

---

Record 6
The following is a DFT calculation (PBE) of Cd2SbAu after structural relaxation.

Calculated density, g/cm³: 9.96
Crystal system: orthorhombic
ΔE_f (raw), meV per atom: 35
M_tot, μB per cell: 0.0

Lattice parameters (Å, degrees): 5.498 5.498 5.498 129.06 134.18 70.91
Fractional positions:
Sb: 0.486 0.486 0.000
Cd: 0.251 0.751 0.500
Cd: 0.014 0.014 0.000
Au: 0.750 0.250 0.500

---

Record 7
The following is a DFT calculation (PBE) of LaGaCuNi2 after structural relaxation.

Calculated density, g/cm³: 7.61
DFT formation energy, eV/atom: -0.3192
Crystal system: orthorhombic
M_tot, μB per cell: 0.0

Lattice parameters (Å, degrees): 4.071 3.886 6.067 108.68 109.60 90.00
Fractional positions:
La: 0.451 0.451 0.902
Ni: 0.056 0.056 0.112
Ga: 0.193 0.693 0.387
Cu: 0.827 0.827 0.655
Ni: 0.684 0.184 0.369

---

Record 8
The following is a DFT calculation (PBE) of BaSr2Ge2 after structural relaxation.

Calculated density, g/cm³: 4.43
DFT formation energy, eV/atom: -0.4536
Relative energy among the computed polymorphs, kJ per mole of atoms: 0.00
Crystal system: tetragonal
M_tot, μB per cell: 0.0

Lattice parameters (Å, degrees): 8.386 8.386 4.881 90.00 90.00 90.00
Fractional positions:
Sr: 0.166 0.666 0.500
Sr: 0.834 0.334 0.500
Ge: 0.109 0.391 0.000
Ge: 0.609 0.109 0.000
Ge: 0.891 0.609 0.000
Ge: 0.391 0.891 0.000
Sr: 0.666 0.834 0.500
Sr: 0.334 0.166 0.500
Ba: 0.000 0.000 0.000
Ba: 0.500 0.500 0.000

---

Record 9
The following is a DFT calculation (PBE) of Hf4Ni3Rh after structural relaxation.

Calculated density, g/cm³: 12.28
DFT formation energy, eV/atom: -0.6032
Crystal system: orthorhombic
M_tot, μB per cell: 0.0

Lattice parameters (Å, degrees): 3.297 4.134 9.854 90.00 90.00 90.00
Fractional positions:
Ni: 0.000 0.000 0.419
Hf: 0.000 0.500 0.854
Ni: 0.500 0.000 0.907
Hf: 0.500 0.500 0.364
Ni: 0.000 0.500 0.584
Hf: 0.500 0.000 0.640
Hf: 0.000 0.000 0.143
Rh: 0.500 0.500 0.088

---

Record 10
The following is a DFT calculation (PBE) of La2ErTe5Au after structural relaxation.

Calculated density, g/cm³: 7.59
Crystal system: orthorhombic
ΔE_f (raw), meV per atom: -1288
M_tot, μB per cell: 0.0

Lattice parameters (Å, degrees): 4.404 9.846 13.254 90.00 90.00 102.92
Fractional positions:
La: 0.886 0.772 0.189
Te: 0.303 0.606 0.342
Er: 0.811 0.623 0.510
Au: 0.574 0.147 0.957
La: 0.123 0.246 0.310
La: 0.877 0.754 0.810
La: 0.114 0.228 0.689
Te: 0.500 0.999 0.776
Au: 0.426 0.853 0.457
Te: 0.960 0.920 0.571
Te: 0.290 0.579 0.669
Te: 0.040 0.080 0.071
Te: 0.710 0.421 0.169
Te: 0.352 0.704 0.001
Er: 0.189 0.377 0.010
Te: 0.697 0.394 0.842
Te: 0.500 0.001 0.276
Te: 0.648 0.296 0.501

---

Record 11
The following is a DFT calculation (PBE) of U2Be4AlSi3 after structural relaxation.

Calculated density, g/cm³: 7.20
Crystal system: tetragonal
ΔE_f (raw), meV per atom: -184
M_tot, μB per cell: 5.4

Lattice parameters (Å, degrees): 3.861 3.861 9.644 90.00 90.00 90.00
Fractional positions:
Be: 0.500 0.500 0.000
U: 0.000 0.500 0.755
Si: 0.500 0.000 0.870
Si: 0.000 0.500 0.130
Al: 0.500 0.500 0.500
U: 0.500 0.000 0.245
Be: 0.000 0.500 0.361
Be: 0.500 0.000 0.639
Be: 0.000 0.000 0.000
Si: 0.000 0.000 0.500

---

Record 12
The following is a DFT calculation (PBE) of K3Ga2Sn4 after structural relaxation.

Calculated density, g/cm³: 3.85
DFT formation energy, eV/atom: -0.1912
Relative energy among the computed polymorphs, kJ per mole of atoms: 0.00
Crystal system: monoclinic
M_tot, μB per cell: 0.0

Lattice parameters (Å, degrees): 4.664 7.272 12.123 54.16 78.91 71.30
Fractional positions:
K: 0.000 0.000 0.000
Sn: 0.930 0.748 0.393
Ga: 0.405 0.928 0.262
K: 0.339 0.663 0.660
Sn: 0.070 0.252 0.607
Sn: 0.260 0.396 0.083
Ga: 0.595 0.072 0.738
Sn: 0.740 0.604 0.917
K: 0.661 0.337 0.340